# VFeTe3 (PBE, relaxed)
# Energy relative to the elements, uncorrected in kcal/mol of atoms: 16.91
# Total magnetic moment in μB/atom: 0.942
# Space-group type: No. 221
# Total DFT energy (no corrections) in eV per atom: -4.67
data_VFeTe3
_chemical_formula_sum 'V1 Fe1 Te3'
_cell_length_a 5.209
_cell_length_b 5.209
_cell_length_c 5.209
_cell_angle_alpha 90.00
_cell_angle_beta 90.00
_cell_angle_gamma 90.00
_symmetry_space_group_name_H-M 'P 1'
_symmetry_Int_Tables_number 1
_symmetry_space_group_name_Hall 'P 1'
loop_
_atom_site_label
_atom_site_fract_x
_atom_site_fract_y
_atom_site_fract_z
_atom_site_occupancy
Te1 0.000 0.500 0.000 1
Te2 0.000 0.000 0.500 1
Te3 0.500 0.000 0.000 1
Fe1 0.500 0.500 0.500 1
V1 0.000 0.000 0.000 1